## Ba3ErSn8 (PBE)

Data for a geometry-optimized Ba3ErSn8 structure.

Cell and atoms, written as POSCAR:
```
Ba3ErSn8
1.0
-8.376 1.555 0.016
2.522 -3.340 7.420
4.461 7.188 -0.998
Ba Er Sn
3 1 8
Direct
0.500 0.750 0.250
0.500 0.250 0.750
0.000 0.500 0.500
0.000 0.000 0.000
0.434 0.134 0.134
0.566 0.700 0.700
0.000 0.866 0.300
0.000 0.300 0.866
0.306 0.365 0.365
0.694 0.058 0.058
0.000 0.635 0.942
0.000 0.942 0.635
```

E = -3.749 eV/atom
SG = I-42m, No. 121
theoretical density = 5348 kg/m3